## LuRh3C (PBE)

Data for a relaxed LuRh3C crystal. Values from VASP.

The structure in Quantum ESPRESSO input format:
```
&SYSTEM
  ibrav = 0, nat = 5, ntyp = 3
/
ATOMIC_SPECIES
Lu 174.97 Lu.upf
Rh 102.91 Rh.upf
C 12.01 C.upf
ATOMIC_POSITIONS crystal
Lu 0.000 0.000 0.000
Rh 0.000 0.500 0.500
Rh 0.500 0.000 0.500
Rh 0.500 0.500 0.000
C 0.500 0.500 0.500
CELL_PARAMETERS angstrom
4.152 0.000 0.000
0.000 4.152 0.000
0.000 0.000 4.152
```

## Properties
E	-7.7191	eV/atom
SG	Pm-3m, No. 221